(1)
Material: CaMnRu2
Method: DFT, PBE-GGA
State: optimized geometry

```
CaMnRu2
1.0
4.484 0.000 0.000
0.000 4.484 0.000
0.000 0.000 3.213
Ca Mn Ru
1 1 2
Direct
0.000 0.000 0.000
0.500 0.500 0.000
0.000 0.500 0.500
0.500 0.000 0.500
```

Results
Its energy above the most stable polymorph in this dataset is 220 meV/atom. Its crystal system is tetragonal. The calculation puts the formation energy at 0.4657 eV per atom.

=====

(2)
Material: CaMnRu2
Method: DFT, PBE-GGA
State: optimized geometry

```
CaMnRu2
1.0
-3.559 3.559 2.794
3.559 -3.559 2.794
3.559 3.559 -2.794
Ca Mn Ru
2 2 4
Direct
0.000 0.000 0.000
0.750 0.250 0.500
0.250 0.750 0.500
0.500 0.500 0.000
0.197 0.625 0.072
0.375 0.447 0.572
0.553 0.125 0.928
0.875 0.803 0.428
```

Results
Its energy above the most stable polymorph in this dataset is 324 meV/atom. Its crystal system is tetragonal. The calculation puts the formation energy at 0.5700 eV per atom.

=====

(3)
Material: CaMn2SbRu
Method: DFT, PBE-GGA
State: optimized geometry

```
CaMn2SbRu
1.0
4.663 0.000 0.000
0.000 4.663 0.000
0.000 0.000 5.520
Ca Mn Sb Ru
1 2 1 1
Direct
0.000 0.000 0.000
0.000 0.500 0.500
0.500 0.000 0.500
0.000 0.000 0.500
0.500 0.500 0.000
```

Results
For the total energy, the calculation gives -4.950 eV/atom. Its crystal system is tetragonal.

=====

(4)
Material: Ca2MnTcRu
Method: DFT, PBE-GGA
State: optimized geometry

```
Ca2MnTcRu
1.0
5.337 0.000 0.000
0.000 5.337 0.000
0.000 0.000 4.301
Ca Mn Tc Ru
2 1 1 1
Direct
0.000 0.500 0.000
0.500 0.000 0.000
0.000 0.000 0.000
0.500 0.500 0.500
0.000 0.000 0.500
```

Results
Its crystal system is tetragonal. The calculation puts the formation energy at 1.2092 eV per atom.

=====

(5)
Material: CaZrMn2Ru
Method: DFT, PBE-GGA
State: optimized geometry

```
CaZrMn2Ru
1.0
4.442 0.000 0.000
0.000 4.442 0.000
0.000 0.000 5.276
Ca Zr Mn Ru
1 1 2 1
Direct
0.000 0.000 0.000
0.000 0.000 0.500
0.000 0.500 0.500
0.500 0.000 0.500
0.500 0.500 0.000
```

Results
Its crystal system is tetragonal. The calculation puts the formation energy at 1.9306 eV per atom.

=====

(6)
Material: CaMnS2
Method: DFT, PBE-GGA
State: optimized geometry

```
CaMnS2
1.0
0.000 3.181 3.181
3.181 0.000 3.181
3.181 3.181 0.000
Ca Mn S
1 1 2
Direct
0.000 0.000 0.000
0.500 0.500 0.500
0.250 0.250 0.250
0.750 0.750 0.750
```

Results
Its energy above the most stable polymorph in this dataset is 883 meV/atom. Its crystal system is cubic.